Pm2Pb: relaxed, GGA-PBE.

POSCAR file:
```
Pm2Pb
1.0
-4.355 -1.785 -1.778
2.999 -6.235 -1.085
-2.770 -3.045 9.843
Pm Pb
8 4
Direct
0.750 0.422 0.708
0.250 0.078 0.208
0.750 0.922 0.792
0.250 0.578 0.292
0.750 0.334 0.050
0.250 0.166 0.550
0.750 0.834 0.450
0.250 0.666 0.950
0.750 0.807 0.126
0.250 0.693 0.626
0.750 0.307 0.374
0.250 0.193 0.874
```

Computed properties:
Fermi-level density of states = 0.69 states/eV/atom
Spin magnetization = 0.00 μB per cell
Formation energy from the elements = -454 meV/atom

Sr3WC: relaxed, GGA-PBE.

POSCAR file:
```
Sr3WC
1.0
5.392 0.000 0.000
0.000 5.392 0.000
0.000 0.000 5.392
Sr C W
3 1 1
Direct
0.000 0.500 0.000
0.000 0.000 0.500
0.500 0.000 0.000
0.000 0.000 0.000
0.500 0.500 0.500
```

Computed properties:
Fermi-level density of states = 1.84 states/eV/atom
Spin magnetization = 4.54 μB per cell
Formation energy from the elements = 1265 meV/atom

LaLuHgPb: relaxed, GGA-PBE.

POSCAR file:
```
LaLuHgPb
1.0
-2.030 3.329 -3.782
-2.286 -2.052 -4.481
-5.375 0.348 -0.711
Pb Lu Hg La
1 1 1 1
Direct
0.500 0.500 0.500
0.750 0.750 0.750
0.000 0.000 0.000
0.250 0.250 0.250
```

Computed properties:
Fermi-level density of states = 1.13 states/eV/atom
Spin magnetization = 0.01 μB per cell
Formation energy from the elements = -450 meV/atom

CaFe2Pb: relaxed, GGA-PBE.

POSCAR file:
```
CaFe2Pb
1.0
-4.453 -2.492 -1.762
4.615 -0.219 -3.400
1.150 -2.844 0.488
Pb Ca Fe
1 1 2
Direct
0.000 0.500 0.500
0.500 0.500 0.000
0.000 0.000 0.000
0.500 0.000 0.500
```

Computed properties:
Fermi-level density of states = 1.32 states/eV/atom
Spin magnetization = 5.42 μB per cell
Formation energy from the elements = 621 meV/atom

| no. | DFT total energy (Ry/atom) |
| --- | --- |
| 1 | -0.3570 |
| 2 | -0.3072 |
| 3 | -0.2803 |
| 4 | -0.3703 |